[1]
Here is a relaxed HfTlAgTe2Se crystal from the Open Quantum Materials Database. Energies are from PBE. Values from VASP.

For the calculated total energy, the calculation gives -4.81 eV/atom. The calculation puts the distance to the lowest polymorph of the same formula at 0.0 meV per atom. Its space group is P2_1/m.

```
&SYSTEM
  ibrav = 0, nat = 12, ntyp = 5
/
ATOMIC_SPECIES
Ag 107.87 Ag.upf
Hf 178.49 Hf.upf
Se 78.96 Se.upf
Te 127.60 Te.upf
Tl 204.38 Tl.upf
CELL_PARAMETERS angstrom
8.557 0.000 0.000
0.000 4.076 0.000
-3.688 0.000 9.801
ATOMIC_POSITIONS angstrom
Ag 6.480 3.057 3.859
Ag -1.610 1.019 5.942
Hf 5.241 1.019 1.503
Hf -0.371 3.057 8.298
Se 3.456 3.057 1.224
Se 1.413 1.019 8.577
Te 7.332 3.057 1.226
Te 4.518 1.019 4.287
Te 0.351 3.057 5.514
Te -2.462 1.019 8.575
Tl 1.169 1.019 2.827
Tl 3.701 3.057 6.973
```

=====

[2]
Here is a relaxed HfTlAg3Se4 crystal from the Open Quantum Materials Database. Energies are from PBE. Values from VASP.

For the calculated total energy, the calculation gives -4.43 eV/atom. The calculation puts the distance to the lowest polymorph of the same formula at 0.0 meV per atom. Its space group is P-43m.

```
&SYSTEM
  ibrav = 0, nat = 9, ntyp = 4
/
ATOMIC_SPECIES
Ag 107.87 Ag.upf
Hf 178.49 Hf.upf
Se 78.96 Se.upf
Tl 204.38 Tl.upf
CELL_PARAMETERS angstrom
-1.386 -2.255 5.897
-3.106 -5.013 -2.647
5.497 -3.401 -0.008
ATOMIC_POSITIONS angstrom
Ag -2.246 -3.634 1.625
Ag 2.056 -2.828 2.945
Ag 1.196 -4.207 -1.328
Hf 0.503 -5.335 1.621
Se 0.275 -2.922 0.888
Se -1.756 -6.209 2.358
Se 2.135 -5.480 3.551
Se 1.357 -6.727 -0.313
Tl 0.000 0.000 0.000
```

=====

[3]
Here is a relaxed Hf3Tl2Ag2Se8 crystal from the Open Quantum Materials Database. Energies are from PBE. Values from VASP.

For the calculated total energy, the calculation gives -5.45 eV/atom. Its space group is C2/m.

```
&SYSTEM
  ibrav = 0, nat = 15, ntyp = 4
/
ATOMIC_SPECIES
Ag 107.87 Ag.upf
Hf 178.49 Hf.upf
Se 78.96 Se.upf
Tl 204.38 Tl.upf
CELL_PARAMETERS angstrom
-4.939 2.984 5.071
-1.935 1.838 7.204
8.382 10.147 -6.357
ATOMIC_POSITIONS angstrom
Ag 1.506 2.152 -0.965
Ag 0.002 12.818 6.883
Hf -3.437 2.411 6.138
Hf -1.308 7.024 5.616
Hf 2.816 7.946 0.302
Se -5.859 4.523 10.684
Se -2.836 5.062 6.715
Se 2.989 3.943 -2.093
Se 1.494 5.649 0.930
Se 0.014 9.321 4.988
Se -1.481 11.027 8.011
Se 4.344 9.908 -0.797
Se 7.366 10.447 -4.766
Tl -0.568 3.742 2.811
Tl 2.076 11.228 3.107
```

=====

[4]
Here is a relaxed HfTlAg3Se4 crystal from the Open Quantum Materials Database. Energies are from PBE. Values from VASP.

For the calculated total energy, the calculation gives -4.38 eV/atom. The calculation puts the distance to the lowest polymorph of the same formula at 55.4 meV per atom. Its space group is P2_1/m.

```
&SYSTEM
  ibrav = 0, nat = 18, ntyp = 4
/
ATOMIC_SPECIES
Ag 107.87 Ag.upf
Hf 178.49 Hf.upf
Se 78.96 Se.upf
Tl 204.38 Tl.upf
CELL_PARAMETERS angstrom
6.270 0.000 0.000
0.000 7.797 0.000
-2.875 0.000 9.687
ATOMIC_POSITIONS angstrom
Ag 3.003 1.949 2.139
Ag 3.035 0.419 4.606
Ag 3.035 3.479 4.606
Ag 0.360 4.318 5.082
Ag 0.360 7.378 5.082
Ag 0.392 5.848 7.548
Hf 0.005 1.949 2.826
Hf 3.390 5.848 6.861
Se 5.033 1.949 0.637
Se 1.408 4.053 2.519
Se 1.408 7.642 2.519
Se 4.489 5.848 4.506
Se -1.094 1.949 5.181
Se 1.987 0.154 7.168
Se 1.987 3.744 7.168
Se -1.638 5.848 9.050
Tl 4.578 5.848 1.021
Tl -1.184 1.949 8.666
```

=====

[5]
Here is a relaxed Hf2SiAg crystal from the Open Quantum Materials Database. Energies are from PBE. Values from VASP.

For the calculated total energy, the calculation gives -6.69 eV/atom. Its space group is F-43m.

```
&SYSTEM
  ibrav = 0, nat = 4, ntyp = 3
/
ATOMIC_SPECIES
Ag 107.87 Ag.upf
Hf 178.49 Hf.upf
Si 28.09 Si.upf
CELL_PARAMETERS angstrom
0.000 3.345 3.345
3.345 0.000 3.345
3.345 3.345 0.000
ATOMIC_POSITIONS angstrom
Ag 1.673 1.673 1.673
Hf 0.000 0.000 0.000
Hf 5.018 5.018 5.018
Si 3.345 3.345 3.345
```

=====

[6]
Here is a relaxed Hf3Si2Ag2 crystal from the Open Quantum Materials Database. Energies are from PBE. Values from VASP.

For the calculated total energy, the calculation gives -6.67 eV/atom. Its space group is R3m.

```
&SYSTEM
  ibrav = 0, nat = 7, ntyp = 3
/
ATOMIC_SPECIES
Ag 107.87 Ag.upf
Hf 178.49 Hf.upf
Si 28.09 Si.upf
CELL_PARAMETERS angstrom
-6.506 3.252 3.252
-3.252 3.252 6.506
-3.252 6.506 3.252
ATOMIC_POSITIONS angstrom
Ag -0.203 0.203 0.203
Ag -6.406 6.406 6.406
Hf -4.868 4.868 4.868
Hf -8.104 8.104 8.104
Hf -11.342 11.342 11.342
Si -3.242 3.242 3.242
Si -9.743 9.743 9.743
```

=====

[7]
Here is a relaxed HfSiAg2 crystal from the Open Quantum Materials Database. Energies are from PBE. Values from VASP.

For the calculated total energy, the calculation gives -5.26 eV/atom. Its space group is F-43m.

```
&SYSTEM
  ibrav = 0, nat = 4, ntyp = 3
/
ATOMIC_SPECIES
Ag 107.87 Ag.upf
Hf 178.49 Hf.upf
Si 28.09 Si.upf
CELL_PARAMETERS angstrom
-2.896 -2.181 2.863
-4.371 -0.769 -1.281
-1.403 -4.295 -0.963
ATOMIC_POSITIONS angstrom
Ag 0.000 0.000 0.000
Ag -6.503 -5.433 0.464
Hf -2.168 -1.811 0.155
Si -4.335 -3.622 0.309
```

=====

[8]
Here is a relaxed Hf3Ag2Sn2 crystal from the Open Quantum Materials Database. Energies are from PBE. Values from VASP.

For the calculated total energy, the calculation gives -6.22 eV/atom. Its space group is R3m.

```
&SYSTEM
  ibrav = 0, nat = 7, ntyp = 3
/
ATOMIC_SPECIES
Ag 107.87 Ag.upf
Hf 178.49 Hf.upf
Sn 118.71 Sn.upf
CELL_PARAMETERS angstrom
-6.795 3.403 3.403
-3.403 3.403 6.795
-3.403 6.795 3.403
ATOMIC_POSITIONS angstrom
Ag -3.288 3.288 3.288
Ag -10.290 10.290 10.290
Hf -5.090 5.090 5.090
Hf -8.488 8.488 8.488
Hf -11.929 11.929 11.929
Sn -0.073 0.073 0.073
Sn -6.746 6.746 6.746
```